Record 1
DFT (PBE-GGA) results for crystalline Cs2SmPaS4 at its relaxed geometry.

a b c (Å): 7.176 4.124 8.467
angles (deg): 90.00 106.24 90.00
Space group P2/m (No. 10)
Symmetry-distinct sites (fractional):
Cs  0.000  0.000  0.000 x1
Cs  0.500  0.500  0.000 x1
Sm  0.000  0.500  0.500 x1
Pa  0.500  0.000  0.500 x1
S  0.237  0.000  0.686 x2
S  0.278  0.500  0.315 x2

Results
Crystal system: monoclinic
Total magnetization (μB per atom): 0.22
E_form (uncorrected) (kJ/mol of atoms): -155.58

***

Record 2
DFT (PBE-GGA) results for crystalline LiU2F11 at its relaxed geometry.

a b c (Å): 8.952 9.716 10.807
angles (deg): 90.00 90.00 90.00
Space group Ibam (No. 72)
Symmetry-distinct sites (fractional):
Li  0.000  0.000  0.250 x4
U  0.129  0.297  0.000 x8
F  0.000  0.500  0.000 x4
F  0.068  0.152  0.134 x16
F  0.151  0.289  0.500 x8
F  0.221  0.407  0.142 x16

Results
Crystal system: orthorhombic
Total magnetization (μB per atom): 0.14
E_form (uncorrected) (kJ/mol of atoms): -331.07

***

Record 3
DFT (PBE-GGA) results for crystalline AgP2Ir at its relaxed geometry.

a b c (Å): 2.806 4.817 9.449
angles (deg): 90.00 90.00 90.00
Space group Cmm2 (No. 35)
Symmetry-distinct sites (fractional):
Ag  0.000  0.000  0.000 x2
P  0.000  0.000  0.530 x2
P  0.000  0.500  0.251 x2
Ir  0.000  0.500  0.732 x2

Results
Crystal system: orthorhombic
Final energy (eV per atom): -5.223
Total magnetization (μB per atom): 0.00